First-principles (PBE+U) data for a relaxed Cr4P3O12 crystal, as listed in Alexandria via LeMat-Bulk.

Cell lengths 8.8629, 8.8629, 6.7749 Å; angles 71.37, 71.37, 90.77 degrees
Closest atoms and distances in Å follow each position.
Sites, in units of the cell vectors:
Cr  0.9353  0.6199  0.1358  5 O 2.00-2.19
Cr  0.0647  0.3801  0.8642  5 O 2.00-2.19
Cr  0.5043  0.4957  0.2500  4 O 2.03-2.05
Cr  0.7465  0.2535  0.7500  6 O 2.14-2.35
Cr  0.6199  0.9353  0.6358  5 O 2.00-2.19
Cr  0.4957  0.5043  0.7500  4 O 2.03-2.05
Cr  0.3801  0.0647  0.3642  5 O 2.00-2.19
Cr  0.2535  0.7465  0.2500  6 O 2.14-2.35
P  0.1290  0.3536  0.3680  4 O 1.51-1.59
P  0.7214  0.2786  0.2500  4 O 1.53-1.59
P  0.8710  0.6464  0.6320  4 O 1.51-1.59
P  0.2786  0.7214  0.7500  4 O 1.53-1.59
P  0.6464  0.8710  0.1320  4 O 1.51-1.59
P  0.3536  0.1290  0.8680  4 O 1.51-1.59
O  0.7956  0.7968  0.6436  1 P 1.51
O  0.3296  0.0039  0.1007  1 P 1.56
O  0.5433  0.2690  0.2444  1 P 1.59
O  0.8361  0.2584  0.0394  1 P 1.53
O  0.7310  0.4567  0.2556  1 P 1.59
O  0.0457  0.4118  0.1890  1 P 1.57
O  0.7354  0.5052  0.6863  1 P 1.59
O  0.0039  0.3296  0.6007  1 P 1.56
O  0.2690  0.5433  0.7444  1 P 1.59
O  0.6704  0.9961  0.8993  1 P 1.56
O  0.2032  0.2044  0.8564  1 P 1.51
O  0.4948  0.2646  0.8137  1 P 1.59
O  0.2044  0.2032  0.3564  1 P 1.51
O  0.2584  0.8361  0.5394  1 P 1.53
O  0.7968  0.7956  0.1436  1 P 1.51
O  0.4567  0.7310  0.7556  1 P 1.59
O  0.7416  0.1639  0.4606  1 P 1.53
O  0.1639  0.7416  0.9606  1 P 1.53
O  0.5052  0.7354  0.1863  1 P 1.59
O  0.5882  0.9543  0.3110  1 P 1.57
O  0.9961  0.6704  0.3993  1 P 1.56
O  0.2646  0.4948  0.3137  1 P 1.59
O  0.9543  0.5882  0.8110  1 P 1.57
O  0.4118  0.0457  0.6890  1 P 1.57

Calculated density (g cm⁻³): 3.45
E (eV per formula unit): -144.663
SG: C2/c (15)
DOS at the Fermi energy (states/eV per atom): 0.23